Record 1
Pm3Ni3Ir | PBE | relaxed

Lattice parameters (Å, degrees): 4.3189 9.8153 13.1812 90.00 90.00 90.00
Last column: nearest neighbours and their distance in Å.
Space group Cmcm (No. 63)
Symmetry-distinct sites (fractional):
Pm (0.0000, 0.0180, 0.2500)  7 Ni 2.91-3.15
Pm (0.0000, 0.2734, 0.6008)  6 Ni 2.85-3.04, 1 Ir 2.99
Ni (0.0000, 0.3144, 0.2500)  2 Ni 2.47
Ni (0.0000, 0.4367, 0.0865)  2 Ni 2.47-2.60, 2 Ir 2.52
Ir (0.0000, 0.0000, 0.0000)  4 Ni 2.52

Summary:
E_tot in eV/f.u.: -43.4
Energy above the lowest structure with this stoichiometry in eV/atom: 0.0000

=====

Record 2
KNa2Tl2Sb2 | PBE | relaxed

Lattice parameters (Å, degrees): 5.3801 5.3801 28.2949 90.00 90.00 120.00
Last column: nearest neighbours and their distance in Å.
Space group R-3m (No. 166, hexagonal axes)
Symmetry-distinct sites (fractional):
K (0.0000, 0.0000, 0.0000)  2 Na 3.88, 6 Sb 3.92
Na (0.0000, 0.0000, 0.1371)  4 Sb 3.17-3.45, 3 Tl 3.22, 3 Na 3.53
Tl (0.0000, 0.0000, 0.4408)  3 Sb 3.17, 3 Na 3.22, 1 Tl 3.35
Sb (0.0000, 0.0000, 0.2490)  4 Na 3.17-3.45, 3 Tl 3.17

Summary:
E_tot in eV/f.u.: -18.5
ΔE_f (raw) in eV per atom: -0.25

=====

Record 3
Th4NiC2N | PBE | relaxed

Lattice parameters (Å, degrees): 6.6099 3.7571 6.6295 90.00 108.37 90.00
Last column: nearest neighbours and their distance in Å.
Space group P2/m (No. 10)
Symmetry-distinct sites (fractional):
Th (0.2337, 0.0000, 0.2337)  3 C 2.61-2.69, 1 N 2.69, 2 Ni 2.79
Th (0.2431, 0.5000, 0.7564)  3 C 2.61-2.70, 2 N 2.70, 1 Ni 2.76
Ni (0.5000, 0.5000, 0.5000)  6 Th 2.76-2.79
C (0.0000, 0.5000, 0.0000)  6 Th 2.61
C (0.5000, 0.0000, 0.0000)  6 Th 2.69-2.70
N (0.0000, 0.0000, 0.5000)  6 Th 2.69-2.70

Summary:
E_tot in eV/f.u.: -66.4
ΔE_f (raw) in eV per atom: -0.52

=====

Record 4
Cd2H2SO6 | PBE | relaxed

Lattice parameters (Å, degrees): 11.8491 7.8558 6.6027 90.00 117.67 90.00
Last column: nearest neighbours and their distance in Å.
Space group C2/c (No. 15)
Symmetry-distinct sites (fractional):
Cd (0.2457, 0.0973, 0.1843)  6 O 2.23-2.46
H (0.0916, 0.1448, 0.6856)  1 O 0.99
S (0.0000, 0.3124, 0.2500)  4 O 1.49-1.50
O (0.0379, 0.2052, 0.1054)  1 S 1.49
O (0.1102, 0.4228, 0.4037)  1 S 1.50
O (0.1823, 0.1345, 0.7982)  1 H 0.99

Summary:
E_tot in eV/f.u.: -56.3

=====

Record 5
Y2AgB2 | PBE | relaxed

Lattice parameters (Å, degrees): 6.9101 6.9101 3.6564 90.00 90.00 90.00
Last column: nearest neighbours and their distance in Å.
Space group P4/mbm (No. 127)
Symmetry-distinct sites (fractional):
Y (0.1835, 0.3165, 0.0000)  6 B 2.69-2.92
Ag (0.0000, 0.0000, 0.5000)  4 B 2.94, 8 Y 3.12
B (0.0831, 0.5831, 0.5000)  1 B 1.62

Summary:
E_tot in eV/f.u.: -30.3
Energy above the lowest structure with this stoichiometry in eV/atom: 0.0000

=====

Record 6
Np2SnC | PBE | relaxed

Lattice parameters (Å, degrees): 3.2581 3.2581 26.1690 90.00 90.00 120.00
Last column: nearest neighbours and their distance in Å.
Space group R-3m (No. 166, hexagonal axes)
Symmetry-distinct sites (fractional):
Np (0.0000, 0.0000, 0.2236)  3 C 2.40
Sn (0.0000, 0.0000, 0.0000)  6 Sn 3.26, 6 Np 3.43
C (0.0000, 0.0000, 0.5000)  6 Np 2.40

Summary:
E_tot in eV/f.u.: -38.8

=====

Record 7
BeIrRu | PBE | relaxed

Lattice parameters (Å, degrees): 4.0249 4.0249 2.7009 90.00 90.00 120.00
Last column: nearest neighbours and their distance in Å.
Space group P-6m2 (No. 187)
Symmetry-distinct sites (fractional):
Be (0.0000, 0.0000, 0.0000)  3 Ir 2.32
Ir (0.3333, 0.6667, 0.0000)  3 Be 2.32
Ru (0.6667, 0.3333, 0.5000)  6 Be 2.69, 6 Ir 2.69, 2 Ru 2.70

Summary:
E_tot in eV/f.u.: -22.1
Energy above the lowest structure with this stoichiometry in eV/atom: 0.1931

=====

Record 8
TlSi2Se | PBE | relaxed

Lattice parameters (Å, degrees): 3.5048 4.6189 5.2155 90.00 90.00 90.00
Last column: nearest neighbours and their distance in Å.
Space group Pmmm (No. 47)
Symmetry-distinct sites (fractional):
Tl (0.0000, 0.0000, 0.0000)  4 Si 2.90, 4 Se 3.14
Si (0.0000, 0.5000, 0.5000)  4 Se 2.90, 4 Si 3.14
Si (0.5000, 0.5000, 0.0000)  4 Tl 2.90, 4 Si 3.14
Se (0.5000, 0.0000, 0.5000)  4 Si 2.90, 4 Tl 3.14

Summary:
E_tot in eV/f.u.: -14.4
ΔE_f (raw) in eV per atom: 0.56
Energy above the lowest structure with this stoichiometry in eV/atom: 0.4191

=====

Q: Which formula does entry 6 have?
A: Np2SnC